1.
Density functional theory data (PBE-GGA) for a relaxed TaCuReBi crystal.

## Properties
Theoretical density ... 15.43 g cm⁻³
V ... 275.4 Å³ per cell
VASP energy ... -115.3 eV/cell
Energy relative to the lowest polymorph listed for this composition ... 246.1 meV per atom
Spin magnetization ... 0.0 Bohr magnetons per cell

Structure (CIF):
```
data_TaCuReBi
_space_group_name_H-M_alt 'F -4 3 m'
_space_group_IT_number 216
_space_group_name_Hall 'F -4 2 3'
_cell_length_a 6.5058
_cell_length_b 6.5058
_cell_length_c 6.5058
_cell_angle_alpha 90.00
_cell_angle_beta 90.00
_cell_angle_gamma 90.00
loop_
_atom_site_label
_atom_site_type_symbol
_atom_site_fract_x
_atom_site_fract_y
_atom_site_fract_z
Ta1 Ta 0.0000 0.0000 0.0000
Cu1 Cu 0.2500 0.2500 0.2500
Re1 Re 0.0000 0.0000 0.5000
Bi1 Bi 0.2500 0.2500 0.7500
```



2.
Density functional theory data (PBE-GGA) for a relaxed TaCuReBi crystal.

## Properties
Theoretical density ... 15.08 g cm⁻³
V ... 281.7 Å³ per cell
VASP energy ... -119.3 eV/cell
Energy relative to the lowest polymorph listed for this composition ... 0.0 meV per atom
Spin magnetization ... 0.0 Bohr magnetons per cell

Structure (CIF):
```
data_TaCuReBi
_space_group_name_H-M_alt 'F -4 3 m'
_space_group_IT_number 216
_space_group_name_Hall 'F -4 2 3'
_cell_length_a 6.5555
_cell_length_b 6.5555
_cell_length_c 6.5555
_cell_angle_alpha 90.00
_cell_angle_beta 90.00
_cell_angle_gamma 90.00
loop_
_atom_site_label
_atom_site_type_symbol
_atom_site_fract_x
_atom_site_fract_y
_atom_site_fract_z
Ta1 Ta 0.0000 0.0000 0.0000
Cu1 Cu 0.2500 0.2500 0.7500
Re1 Re 0.2500 0.2500 0.2500
Bi1 Bi 0.0000 0.0000 0.5000
```



3.
Density functional theory data (PBE-GGA) for a relaxed CuReBiW crystal.

## Properties
Theoretical density ... 15.54 g cm⁻³
V ... 274.6 Å³ per cell
VASP energy ... -119.0 eV/cell
Energy relative to the lowest polymorph listed for this composition ... 0.0 meV per atom
Spin magnetization ... 1.5 Bohr magnetons per cell

Structure (CIF):
```
data_CuReBiW
_space_group_name_H-M_alt 'F -4 3 m'
_space_group_IT_number 216
_space_group_name_Hall 'F -4 2 3'
_cell_length_a 6.5002
_cell_length_b 6.5002
_cell_length_c 6.5002
_cell_angle_alpha 90.00
_cell_angle_beta 90.00
_cell_angle_gamma 90.00
loop_
_atom_site_label
_atom_site_type_symbol
_atom_site_fract_x
_atom_site_fract_y
_atom_site_fract_z
Cu1 Cu 0.0000 0.0000 0.0000
Re1 Re 0.0000 0.0000 0.5000
Bi1 Bi 0.2500 0.2500 0.2500
W1 W 0.2500 0.2500 0.7500
```



4.
Density functional theory data (PBE-GGA) for a relaxed ZnCuReBi crystal.

## Properties
Theoretical density ... 12.66 g cm⁻³
V ... 275.0 Å³ per cell
VASP energy ... -73.6 eV/cell
Energy relative to the lowest polymorph listed for this composition ... 0.0 meV per atom
Spin magnetization ... 0.0 Bohr magnetons per cell

Structure (CIF):
```
data_ZnCuReBi
_space_group_name_H-M_alt 'F -4 3 m'
_space_group_IT_number 216
_space_group_name_Hall 'F -4 2 3'
_cell_length_a 6.5027
_cell_length_b 6.5027
_cell_length_c 6.5027
_cell_angle_alpha 90.00
_cell_angle_beta 90.00
_cell_angle_gamma 90.00
loop_
_atom_site_label
_atom_site_type_symbol
_atom_site_fract_x
_atom_site_fract_y
_atom_site_fract_z
Zn1 Zn 0.0000 0.0000 0.0000
Cu1 Cu 0.2500 0.2500 0.2500
Re1 Re 0.2500 0.2500 0.7500
Bi1 Bi 0.0000 0.0000 0.5000
```



5.
Density functional theory data (PBE-GGA) for a relaxed ZnCuReBi crystal.

## Properties
Theoretical density ... 12.40 g cm⁻³
V ... 280.8 Å³ per cell
VASP energy ... -70.7 eV/cell
Energy relative to the lowest polymorph listed for this composition ... 181.1 meV per atom
Spin magnetization ... 2.8 Bohr magnetons per cell

Structure (CIF):
```
data_ZnCuReBi
_space_group_name_H-M_alt 'F -4 3 m'
_space_group_IT_number 216
_space_group_name_Hall 'F -4 2 3'
_cell_length_a 6.5486
_cell_length_b 6.5486
_cell_length_c 6.5486
_cell_angle_alpha 90.00
_cell_angle_beta 90.00
_cell_angle_gamma 90.00
loop_
_atom_site_label
_atom_site_type_symbol
_atom_site_fract_x
_atom_site_fract_y
_atom_site_fract_z
Zn1 Zn 0.0000 0.0000 0.0000
Cu1 Cu 0.0000 0.0000 0.5000
Re1 Re 0.2500 0.2500 0.7500
Bi1 Bi 0.2500 0.2500 0.2500
```



6.
Density functional theory data (PBE-GGA) for a relaxed Cu4Bi4S9 crystal.

## Properties
Theoretical density ... 6.25 g cm⁻³
V ... 1466.3 Å³ per cell
VASP energy ... -291.4 eV/cell
Energy relative to the lowest polymorph listed for this composition ... 0.0 meV per atom

Structure (CIF):
```
data_Cu4Bi4S9
_space_group_name_H-M_alt 'P n m a'
_space_group_IT_number 62
_space_group_name_Hall '-P 2ac 2n'
_cell_length_a 31.9185
_cell_length_b 3.9475
_cell_length_c 11.6375
_cell_angle_alpha 90.00
_cell_angle_beta 90.00
_cell_angle_gamma 90.00
loop_
_atom_site_label
_atom_site_type_symbol
_atom_site_fract_x
_atom_site_fract_y
_atom_site_fract_z
Cu1 Cu 0.0162 0.2500 0.0948
Cu2 Cu 0.1358 0.2500 0.6183
Cu3 Cu 0.1927 0.7500 0.6631
Cu4 Cu 0.1957 0.2500 0.0736
Bi1 Bi 0.0283 0.2500 0.6306
Bi2 Bi 0.0893 0.7500 0.9039
Bi3 Bi 0.1082 0.7500 0.2720
Bi4 Bi 0.2210 0.2500 0.3559
S1 S 0.0202 0.2500 0.8698
S2 S 0.0302 0.2500 0.3828
S3 S 0.0869 0.2500 0.1119
S4 S 0.0978 0.7500 0.6738
S5 S 0.1431 0.2500 0.4242
S6 S 0.1534 0.2500 0.9111
S7 S 0.1844 0.7500 0.1810
S8 S 0.1902 0.2500 0.7567
S9 S 0.2363 0.7500 0.5126
```



7.
Density functional theory data (PBE-GGA) for a relaxed Cu4Bi7S12 crystal.

## Properties
Theoretical density ... 6.51 g cm⁻³
V ... 1071.6 Å³ per cell
VASP energy ... -197.8 eV/cell

Structure (CIF):
```
data_Cu4Bi7S12
_space_group_name_H-M_alt 'C 1 2/m 1'
_space_group_IT_number 12
_space_group_name_Hall '-C 2y'
_cell_length_a 18.1924
_cell_length_b 3.9618
_cell_length_c 15.2074
_cell_angle_alpha 90.00
_cell_angle_beta 102.13
_cell_angle_gamma 90.00
loop_
_atom_site_label
_atom_site_type_symbol
_atom_site_fract_x
_atom_site_fract_y
_atom_site_fract_z
Cu1 Cu 0.0924 0.0000 0.4920
Cu2 Cu 0.1548 0.0000 0.1387
Bi1 Bi 0.0000 0.5000 0.0000
Bi2 Bi 0.0058 0.5000 0.7195
Bi3 Bi 0.1704 0.0000 0.9099
Bi4 Bi 0.2396 0.5000 0.3706
S1 S 0.0154 0.0000 0.8753
S2 S 0.0249 0.0000 0.6085
S3 S 0.1500 0.0000 0.2848
S4 S 0.1570 0.5000 0.7826
S5 S 0.1612 0.5000 0.0609
S6 S 0.1618 0.5000 0.4980
```



8.
Density functional theory data (PBE-GGA) for a relaxed Cu3BiS3 crystal.

## Properties
Theoretical density ... 6.09 g cm⁻³
V ... 541.0 Å³ per cell
VASP energy ... -116.2 eV/cell

Structure (CIF):
```
data_Cu3BiS3
_space_group_name_H-M_alt 'P 21 21 21'
_space_group_IT_number 19
_space_group_name_Hall 'P 2ac 2ab'
_cell_length_a 6.7550
_cell_length_b 7.7002
_cell_length_c 10.4010
_cell_angle_alpha 90.00
_cell_angle_beta 90.00
_cell_angle_gamma 90.00
loop_
_atom_site_label
_atom_site_type_symbol
_atom_site_fract_x
_atom_site_fract_y
_atom_site_fract_z
Cu1 Cu 0.0268 0.0563 0.0356
Cu2 Cu 0.0764 0.6903 0.1027
Cu3 Cu 0.1381 0.8517 0.4042
Bi1 Bi 0.1313 0.6921 0.7558
S1 S 0.0867 0.3184 0.9300
S2 S 0.0947 0.3197 0.5634
S3 S 0.1076 0.0544 0.2483
```



9.
Density functional theory data (PBE-GGA) for a relaxed Cu4Bi4S9 crystal.

## Properties
Theoretical density ... 6.20 g cm⁻³
V ... 1477.1 Å³ per cell
VASP energy ... -290.4 eV/cell
Energy relative to the lowest polymorph listed for this composition ... 14.9 meV per atom

Structure (CIF):
```
data_Cu4Bi4S9
_space_group_name_H-M_alt 'P n m a'
_space_group_IT_number 62
_space_group_name_Hall '-P 2ac 2n'
_cell_length_a 33.1434
_cell_length_b 3.9293
_cell_length_c 11.3426
_cell_angle_alpha 90.00
_cell_angle_beta 90.00
_cell_angle_gamma 90.00
loop_
_atom_site_label
_atom_site_type_symbol
_atom_site_fract_x
_atom_site_fract_y
_atom_site_fract_z
Cu1 Cu 0.0130 0.2500 0.0831
Cu2 Cu 0.1401 0.2500 0.6290
Cu3 Cu 0.1941 0.7500 0.6730
Cu4 Cu 0.1963 0.2500 0.0854
Bi1 Bi 0.0288 0.7500 0.6359
Bi2 Bi 0.0924 0.7500 0.9175
Bi3 Bi 0.1108 0.7500 0.2882
Bi4 Bi 0.2231 0.2500 0.3616
S1 S 0.0240 0.2500 0.8607
S2 S 0.0479 0.2500 0.4834
S3 S 0.0814 0.2500 0.1307
S4 S 0.1086 0.7500 0.6887
S5 S 0.1484 0.2500 0.4325
S6 S 0.1546 0.2500 0.9249
S7 S 0.1832 0.7500 0.1891
S8 S 0.1922 0.2500 0.7725
S9 S 0.2380 0.7500 0.5235
```



10.
Density functional theory data (PBE-GGA) for a relaxed CuBiSb crystal.

## Properties
Theoretical density ... 7.56 g cm⁻³
V ... 346.4 Å³ per cell
VASP energy ... -42.2 eV/cell
Energy relative to the lowest polymorph listed for this composition ... 0.0 meV per atom

Structure (CIF):
```
data_CuBiSb
_space_group_name_H-M_alt 'F -4 3 m'
_space_group_IT_number 216
_space_group_name_Hall 'F -4 2 3'
_cell_length_a 7.0229
_cell_length_b 7.0229
_cell_length_c 7.0229
_cell_angle_alpha 90.00
_cell_angle_beta 90.00
_cell_angle_gamma 90.00
loop_
_atom_site_label
_atom_site_type_symbol
_atom_site_fract_x
_atom_site_fract_y
_atom_site_fract_z
Cu1 Cu 0.0000 0.0000 0.0000
Bi1 Bi 0.0000 0.0000 0.5000
Sb1 Sb 0.2500 0.2500 0.7500
```



11.
Density functional theory data (PBE-GGA) for a relaxed Cu2BiSb crystal.

## Properties
Theoretical density ... 9.33 g cm⁻³
V ... 325.9 Å³ per cell
VASP energy ... -57.7 eV/cell

Structure (CIF):
```
data_Cu2BiSb
_space_group_name_H-M_alt 'P m -3 m'
_space_group_IT_number 221
_space_group_name_Hall '-P 4 2 3'
_cell_length_a 6.8813
_cell_length_b 6.8813
_cell_length_c 6.8813
_cell_angle_alpha 90.00
_cell_angle_beta 90.00
_cell_angle_gamma 90.00
loop_
_atom_site_label
_atom_site_type_symbol
_atom_site_fract_x
_atom_site_fract_y
_atom_site_fract_z
Cu1 Cu 0.2306 0.2306 0.2306
Bi1 Bi 0.0000 0.5000 0.5000
Bi2 Bi 0.5000 0.5000 0.5000
Sb1 Sb 0.0000 0.0000 0.0000
Sb2 Sb 0.0000 0.0000 0.5000
```



12.
Density functional theory data (PBE-GGA) for a relaxed Cu2BiSb crystal.

## Properties
Theoretical density ... 9.33 g cm⁻³
V ... 325.8 Å³ per cell
VASP energy ... -57.7 eV/cell

Structure (CIF):
```
data_Cu2BiSb
_space_group_name_H-M_alt 'P m -3 m'
_space_group_IT_number 221
_space_group_name_Hall '-P 4 2 3'
_cell_length_a 6.8810
_cell_length_b 6.8810
_cell_length_c 6.8810
_cell_angle_alpha 90.00
_cell_angle_beta 90.00
_cell_angle_gamma 90.00
loop_
_atom_site_label
_atom_site_type_symbol
_atom_site_fract_x
_atom_site_fract_y
_atom_site_fract_z
Cu1 Cu 0.2307 0.2307 0.2307
Bi1 Bi 0.0000 0.5000 0.5000
Bi2 Bi 0.5000 0.5000 0.5000
Sb1 Sb 0.0000 0.0000 0.0000
Sb2 Sb 0.0000 0.0000 0.5000
```